[1]
Material: SrTiCu2I
Method: DFT, GGA-PBE
State: relaxed

Cell lengths 4.8550, 4.8550, 6.7285 Å; angles 90.00, 90.00, 90.00 degrees
Atoms (fractional coordinates):
Sr  0.0000  0.0000  0.0000
Ti  0.0000  0.0000  0.5000
Cu  0.0000  0.5000  0.5000
Cu  0.5000  0.0000  0.5000
I  0.5000  0.5000  0.0000

Results
The value obtained for the total moment is 2.74 μB/f.u. For the formation energy without anion corrections, the calculation gives 2.7 eV/f.u. The value obtained for the density of states at the Fermi level is 0.770 states/eV per atom.



[2]
Material: LaTcCl2
Method: DFT, GGA-PBE
State: relaxed

Cell lengths 6.5697, 6.5697, 6.5697 Å; angles 147.20, 137.84, 54.42 degrees
Atoms (fractional coordinates):
La  0.0000  0.0000  0.0000
Tc  0.5000  0.5000  0.0000
Cl  0.3540  0.8540  0.5000
Cl  0.6460  0.1460  0.5000

Results
The value obtained for the total moment is 0.00 μB/f.u. For the formation energy without anion corrections, the calculation gives -3.0 eV/f.u. The value obtained for the density of states at the Fermi level is 0.563 states/eV per atom.



Question: The lowest total moment belongs to which entry?
Answer: LaTcCl2



Repeat the first record exactly.
Material: SrTiCu2I
Method: DFT, GGA-PBE
State: relaxed

Cell lengths 4.8550, 4.8550, 6.7285 Å; angles 90.00, 90.00, 90.00 degrees
Atoms (fractional coordinates):
Sr  0.0000  0.0000  0.0000
Ti  0.0000  0.0000  0.5000
Cu  0.0000  0.5000  0.5000
Cu  0.5000  0.0000  0.5000
I  0.5000  0.5000  0.0000

Results
The value obtained for the total moment is 2.74 μB/f.u. For the formation energy without anion corrections, the calculation gives 2.7 eV/f.u. The value obtained for the density of states at the Fermi level is 0.770 states/eV per atom.



Question: Which formula does entry 1 have?
Answer: SrTiCu2I